1.
## NaZn2Pt2 (PBE)

Data for an optimized crystal structure of NaZn2Pt2.

Computed properties:
Energy of formation from the pure elements ... -0.50 eV/atom
Spin magnetization ... 0.000 μB per cell
Energy relative to the lowest polymorph listed for this composition ... 0 meV/atom

Cell lengths 7.623, 7.623, 2.826 Å; angles 90.00, 90.00, 90.00 degrees
Sites, in units of the cell vectors:
1 Na 0.000 0.000 0.000
2 Na 0.500 0.500 0.000
3 Zn 0.135 0.365 0.000
4 Zn 0.365 0.865 0.000
5 Zn 0.635 0.135 0.000
6 Zn 0.865 0.635 0.000
7 Pt 0.161 0.661 0.500
8 Pt 0.339 0.161 0.500
9 Pt 0.661 0.839 0.500
10 Pt 0.839 0.339 0.500

=====

2.
## NaZnPt (PBE)

Data for an optimized crystal structure of NaZnPt.

Computed properties:
Energy of formation from the pure elements ... -0.35 eV/atom
Spin magnetization ... 0.000 μB per cell
Energy relative to the lowest polymorph listed for this composition ... 58 meV/atom

Cell lengths 4.702, 5.211, 5.098 Å; angles 90.00, 93.42, 90.00 degrees
Sites, in units of the cell vectors:
1 Na 0.000 0.000 0.000
2 Na 0.500 0.000 0.500
3 Zn 0.226 0.500 0.653
4 Zn 0.774 0.500 0.347
5 Pt 0.266 0.500 0.157
6 Pt 0.734 0.500 0.843

=====

3.
## NaZnPt (PBE)

Data for an optimized crystal structure of NaZnPt.

Computed properties:
Energy of formation from the pure elements ... -0.36 eV/atom
Spin magnetization ... 0.000 μB per cell
Energy relative to the lowest polymorph listed for this composition ... 52 meV/atom

Cell lengths 5.139, 4.526, 5.753 Å; angles 90.00, 111.17, 90.00 degrees
Sites, in units of the cell vectors:
1 Na 0.225 0.250 0.468
2 Na 0.775 0.750 0.532
3 Zn 0.357 0.750 0.972
4 Zn 0.643 0.250 0.028
5 Pt 0.117 0.250 0.943
6 Pt 0.883 0.750 0.057

=====

4.
## NaZnPt3 (PBE)

Data for an optimized crystal structure of NaZnPt3.

Computed properties:
Energy of formation from the pure elements ... 1.30 eV/atom
Spin magnetization ... 0.000 μB per cell
Energy relative to the lowest polymorph listed for this composition ... 858 meV/atom

Cell lengths 4.607, 4.607, 4.607 Å; angles 90.00, 90.00, 90.00 degrees
Sites, in units of the cell vectors:
1 Na 0.000 0.000 0.000
2 Zn 0.500 0.500 0.500
3 Pt 0.000 0.000 0.500
4 Pt 0.000 0.500 0.000
5 Pt 0.500 0.000 0.000

=====

5.
## NaZnPt4 (PBE)

Data for an optimized crystal structure of NaZnPt4.

Computed properties:
Energy of formation from the pure elements ... -0.18 eV/atom
Spin magnetization ... 0.000 μB per cell

Cell lengths 5.311, 5.311, 5.311 Å; angles 60.00, 60.00, 60.00 degrees
Sites, in units of the cell vectors:
1 Na 0.000 0.000 0.000
2 Zn 0.750 0.750 0.750
3 Pt 0.375 0.375 0.375
4 Pt 0.375 0.375 0.875
5 Pt 0.375 0.875 0.375
6 Pt 0.875 0.375 0.375

=====

6.
## NaZn4Pt (PBE)

Data for an optimized crystal structure of NaZn4Pt.

Computed properties:
Energy of formation from the pure elements ... -0.17 eV/atom
Spin magnetization ... 0.000 μB per cell
Energy relative to the lowest polymorph listed for this composition ... 27 meV/atom

Cell lengths 10.196, 10.196, 5.593 Å; angles 90.00, 90.00, 155.98 degrees
Sites, in units of the cell vectors:
1 Na 0.099 0.901 0.750
2 Na 0.901 0.099 0.250
3 Zn 0.173 0.827 0.250
4 Zn 0.292 0.708 0.018
5 Zn 0.292 0.708 0.482
6 Zn 0.500 0.500 0.000
7 Zn 0.500 0.500 0.500
8 Zn 0.708 0.292 0.518
9 Zn 0.708 0.292 0.982
10 Zn 0.827 0.173 0.750
11 Pt 0.397 0.603 0.750
12 Pt 0.603 0.397 0.250

=====

7.
## NaZn2Pt (PBE)

Data for an optimized crystal structure of NaZn2Pt.

Computed properties:
Energy of formation from the pure elements ... -0.31 eV/atom
Spin magnetization ... 0.000 μB per cell

Cell lengths 4.200, 10.289, 6.941 Å; angles 90.00, 90.00, 90.00 degrees
Sites, in units of the cell vectors:
1 Na 0.000 0.067 0.250
2 Na 0.000 0.933 0.750
3 Na 0.500 0.433 0.750
4 Na 0.500 0.567 0.250
5 Zn 0.000 0.357 0.056
6 Zn 0.000 0.357 0.444
7 Zn 0.000 0.643 0.556
8 Zn 0.000 0.643 0.944
9 Zn 0.500 0.143 0.556
10 Zn 0.500 0.143 0.944
11 Zn 0.500 0.857 0.056
12 Zn 0.500 0.857 0.444
13 Pt 0.000 0.218 0.750
14 Pt 0.000 0.782 0.250
15 Pt 0.500 0.282 0.250
16 Pt 0.500 0.718 0.750

=====

8.
## NaZn2Pt (PBE)

Data for an optimized crystal structure of NaZn2Pt.

Computed properties:
Energy of formation from the pure elements ... -0.06 eV/atom
Spin magnetization ... 0.000 μB per cell

Cell lengths 4.844, 4.844, 17.191 Å; angles 90.00, 90.00, 90.00 degrees
Sites, in units of the cell vectors:
1 Na 0.000 0.000 0.000
2 Na 0.000 0.500 0.250
3 Na 0.500 0.000 0.750
4 Na 0.500 0.500 0.500
5 Zn 0.006 0.250 0.625
6 Zn 0.250 0.506 0.875
7 Zn 0.250 0.994 0.375
8 Zn 0.494 0.250 0.125
9 Zn 0.506 0.750 0.125
10 Zn 0.750 0.006 0.375
11 Zn 0.750 0.494 0.875
12 Zn 0.994 0.750 0.625
13 Pt 0.000 0.000 0.500
14 Pt 0.000 0.500 0.750
15 Pt 0.500 0.000 0.250
16 Pt 0.500 0.500 0.000